Run i
# LaTb3Nd2 PBE optimized geometry
# * DOS(E_F): 17.626 states/eV/cell
# * symmetry: C2/c (15)
# * size of the total moment: 0.00 μB/f.u.
data_LaTb3Nd2
_chemical_formula_sum 'La2 Tb6 Nd4'
_space_group_name_H-M_alt 'P 1'
_space_group_IT_number 1
_cell_length_a 9.1145
_cell_length_b 6.7564
_cell_length_c 6.7564
_cell_angle_alpha 95.39
_cell_angle_beta 82.25
_cell_angle_gamma 82.25
loop_
_space_group_symop_operation_xyz
'x,y,z'
loop_
_atom_site_label
_atom_site_fract_x
_atom_site_fract_y
_atom_site_fract_z
_atom_site_occupancy
Tb1 0.2500 0.4196 0.5804 1
La1 0.2500 0.0856 0.9144 1
Nd1 0.8738 0.3774 0.8682 1
La2 0.7500 0.9144 0.0856 1
Tb2 0.5002 0.3336 0.1645 1
Tb3 0.7500 0.5804 0.4196 1
Nd2 0.1262 0.6226 0.1318 1
Nd3 0.3738 0.8682 0.3774 1
Tb4 0.9998 0.8355 0.6664 1
Tb5 0.4998 0.6664 0.8355 1
Nd4 0.6262 0.1318 0.6226 1
Tb6 0.0002 0.1645 0.3336 1



Run ii
# LaTb3Nd2 PBE optimized geometry
# * DOS(E_F): 18.933 states/eV/cell
# * symmetry: C2/m (12)
# * size of the total moment: 0.00 μB/f.u.
data_LaTb3Nd2
_chemical_formula_sum 'La2 Tb6 Nd4'
_space_group_name_H-M_alt 'P 1'
_space_group_IT_number 1
_cell_length_a 5.1485
_cell_length_b 8.1284
_cell_length_c 11.4816
_cell_angle_alpha 115.14
_cell_angle_beta 90.00
_cell_angle_gamma 108.46
loop_
_space_group_symop_operation_xyz
'x,y,z'
loop_
_atom_site_label
_atom_site_fract_x
_atom_site_fract_y
_atom_site_fract_z
_atom_site_occupancy
Tb1 0.6230 0.2460 0.6199 1
Tb2 0.9575 0.9149 0.6206 1
Tb3 0.3770 0.7540 0.3801 1
La1 0.1258 0.2516 0.1289 1
Nd1 0.5412 0.0825 0.8714 1
Nd2 0.4588 0.9175 0.1286 1
Tb4 0.7106 0.4211 0.3809 1
La2 0.8742 0.7484 0.8711 1
Tb5 0.2894 0.5789 0.6191 1
Nd3 0.7942 0.5885 0.1296 1
Tb6 0.0425 0.0851 0.3794 1
Nd4 0.2058 0.4115 0.8704 1



run ii comes first in stability; the runner-up is 4.4 kJ/mol of atoms higher.